The following is a PBE+U calculation of an optimized crystal structure of Rb5Mn2O5, from Alexandria.

Lattice parameters (Å, degrees): 3.652 7.501 9.593 76.61 90.00 104.09
Last column: magnetic moment on the atom in μB.
Sites, in units of the cell vectors:
O 0.093 0.187 0.259  -0.05
Rb 0.500 0.000 0.500  0.01
Rb 0.726 0.452 0.336  0.01
O 0.907 0.813 0.741  -0.05
Rb 0.274 0.548 0.664  0.01
Mn 0.968 0.935 0.216  4.32
Rb 0.636 0.272 0.019  0.01
Mn 0.032 0.065 0.784  4.32
O 0.391 0.781 0.278  0.00
Rb 0.364 0.728 0.981  0.01
O 0.609 0.219 0.722  0.00
O 0.000 0.000 0.000  -0.07

Summary:
* VASP energy: -4.941 eV/atom
* Fermi-level density of states: 0.278 states/eV/atom